(1)
The following is a DFT calculation (PBE) of a relaxed La3ZnSn6Pd2 crystal.

Total magnetic moment = 0.000 μB/atom
Calculated total energy = -54.85 eV/f.u.

a b c (Å): 6.3387 6.3387 9.5322
angles (deg): 90.00 90.00 120.00
Closest atoms and distances in Å follow each position.
Space group P-3m1 (No. 164)
One atom of each set of equivalent atoms:
1 La 0.0000 0.0000 0.0000  6 Sn 3.24
2 La 0.3333 0.6667 0.5888  9 Sn 3.43-3.47, 3 Zn 3.76
3 Zn 0.0000 0.0000 0.5000  6 Sn 2.87
4 Sn 0.1738 0.3476 0.2746  1 Pd 2.78, 1 Zn 2.87, 2 Sn 3.03
5 Pd 0.3333 0.6667 0.0487  3 Sn 2.78

=====

(2)
The following is a DFT calculation (PBE) of a relaxed La2ZnSn3Pd4 crystal.

Total magnetic moment = 0.000 μB/atom
Calculated total energy = -51.74 eV/f.u.

a b c (Å): 4.5868 4.5868 10.6325
angles (deg): 90.00 90.00 90.00
Closest atoms and distances in Å follow each position.
Space group P-4m2 (No. 115)
One atom of each set of equivalent atoms:
1 La 0.0000 0.5000 0.2489  6 Sn 3.49-3.50, 2 Zn 3.50, 8 Pd 3.51-3.52
2 Zn 0.5000 0.5000 0.0000  4 Pd 2.64
3 Sn 0.0000 0.0000 0.0000  4 Pd 2.64
4 Sn 0.0000 0.5000 0.6304  5 Pd 2.62-2.68
5 Pd 0.0000 0.0000 0.5000  4 Sn 2.68
6 Pd 0.0000 0.5000 0.8766  3 Sn 2.62-2.64, 2 Zn 2.64
7 Pd 0.5000 0.5000 0.5000  4 Sn 2.68

=====

(3)
The following is a DFT calculation (PBE) of a relaxed La2Zn3SnPd4 crystal.

Total magnetic moment = 0.000 μB/atom
Calculated total energy = -45.19 eV/f.u.

a b c (Å): 4.5105 4.5105 10.1941
angles (deg): 90.00 90.00 90.00
Closest atoms and distances in Å follow each position.
Space group P-4m2 (No. 115)
One atom of each set of equivalent atoms:
1 La 0.0000 0.5000 0.2341  8 Pd 3.28-3.45, 7 Zn 3.40-3.60, 2 Sn 3.53
2 Zn 0.0000 0.5000 0.8809  5 Pd 2.49-2.56
3 Zn 0.5000 0.5000 0.5000  4 Pd 2.65
4 Sn 0.0000 0.0000 0.5000  4 Pd 2.65
5 Pd 0.0000 0.0000 0.0000  4 Zn 2.56
6 Pd 0.0000 0.5000 0.6363  3 Zn 2.49-2.65, 2 Sn 2.65
7 Pd 0.5000 0.5000 0.0000  4 Zn 2.56

=====

(4)
The following is a DFT calculation (PBE) of a relaxed La2Zn2SnPd5 crystal.

Total magnetic moment = 0.000 μB/atom
Calculated total energy = -49.25 eV/f.u.

a b c (Å): 10.0462 10.0462 3.8391
angles (deg): 90.00 90.00 90.00
Closest atoms and distances in Å follow each position.
Space group P4/mbm (No. 127)
One atom of each set of equivalent atoms:
1 La 0.1795 0.3205 0.0000  3 Zn 2.89-3.04, 6 Pd 3.19-3.22
2 Zn 0.1169 0.6169 0.0000  6 Pd 2.54-2.63
3 Sn 0.0000 0.0000 0.0000  8 Pd 2.93
4 Pd 0.0000 0.5000 0.5000  4 Zn 2.54
5 Pd 0.0650 0.7889 0.5000  2 Zn 2.63, 2 Sn 2.93

=====

(5)
The following is a DFT calculation (PBE) of a relaxed Sr3LaPd crystal.

Total magnetic moment = 0.000 μB/atom
Calculated total energy = -15.55 eV/f.u.

a b c (Å): 5.9264 5.9264 5.9264
angles (deg): 90.00 90.00 90.00
Closest atoms and distances in Å follow each position.
Space group Pm-3m (No. 221)
One atom of each set of equivalent atoms:
1 Sr 0.0000 0.0000 0.5000  2 Pd 2.96
2 La 0.5000 0.5000 0.5000  12 Sr 4.19
3 Pd 0.0000 0.0000 0.0000  6 Sr 2.96

=====

(6)
The following is a DFT calculation (PBE) of a relaxed SrLa3Pd crystal.

Total magnetic moment = 0.309 μB/atom
Calculated total energy = -22.45 eV/f.u.

a b c (Å): 5.8635 5.8635 5.8635
angles (deg): 90.00 90.00 90.00
Closest atoms and distances in Å follow each position.
Space group Pm-3m (No. 221)
One atom of each set of equivalent atoms:
1 Sr 0.0000 0.0000 0.0000  12 La 4.15
2 La 0.0000 0.5000 0.5000  2 Pd 2.93
3 Pd 0.5000 0.5000 0.5000  6 La 2.93

=====

(7)
The following is a DFT calculation (PBE) of a relaxed SrLa3Pd8 crystal.

Total magnetic moment = 0.000 μB/atom
Calculated total energy = -66.72 eV/f.u.

a b c (Å): 5.5787 5.5787 9.1604
angles (deg): 90.00 90.00 120.00
Closest atoms and distances in Å follow each position.
Space group P3m1 (No. 156)
One atom of each set of equivalent atoms:
1 Sr 0.0000 0.0000 0.0000  12 Pd 3.27-3.30, 4 La 3.36-3.42
2 La 0.0000 0.0000 0.3668  12 Pd 3.22-3.32, 1 Sr 3.36, 3 La 3.45
3 La 0.6667 0.3333 0.5030  12 Pd 3.25-3.28, 4 La 3.42-3.45
4 La 0.6667 0.3333 0.8760  12 Pd 3.27-3.29, 3 Sr 3.42, 1 La 3.42
5 Pd 0.1656 0.3313 0.6848  6 Pd 2.77-2.82
6 Pd 0.3333 0.6667 0.4377  6 Pd 2.78-2.79
7 Pd 0.3333 0.6667 0.9370  6 Pd 2.82-2.83
8 Pd 0.5011 0.0023 0.1903  6 Pd 2.77-2.83

=====

(8)
The following is a DFT calculation (PBE) of a relaxed Sr3LaPd8 crystal.

Total magnetic moment = 0.000 μB/atom
Calculated total energy = -59.59 eV/f.u.

a b c (Å): 5.6125 5.6125 27.3321
angles (deg): 90.00 90.00 120.00
Closest atoms and distances in Å follow each position.
Space group R3m (No. 160, hexagonal axes)
One atom of each set of equivalent atoms:
1 Sr 0.0000 0.0000 0.0000  12 Pd 3.24-3.30, 1 Sr 3.39, 3 La 3.45
2 Sr 0.0000 0.0000 0.1240  12 Pd 3.29-3.32, 4 Sr 3.39-3.41
3 Sr 0.0000 0.0000 0.4965  12 Pd 3.27-3.33, 3 Sr 3.41, 1 La 3.47
4 La 0.0000 0.0000 0.6232  12 Pd 3.24-3.29, 4 Sr 3.45-3.47
5 Pd 0.0000 0.0000 0.3107  6 Pd 2.77
6 Pd 0.0000 0.0000 0.8108  6 Pd 2.82
7 Pd 0.0021 0.5010 0.5621  6 Pd 2.77-2.82
8 Pd 0.1678 0.3356 0.3927  6 Pd 2.77-2.82

=====

(9)
The following is a DFT calculation (PBE) of a relaxed Sr2LaPd crystal.

Total magnetic moment = 0.000 μB/atom
Calculated total energy = -12.92 eV/f.u.

a b c (Å): 8.0024 8.0024 8.0024
angles (deg): 90.00 90.00 90.00
Closest atoms and distances in Å follow each position.
Space group Fm-3m (No. 225)
One atom of each set of equivalent atoms:
1 Sr 0.2500 0.2500 0.2500  4 La 3.47, 4 Pd 3.47
2 La 0.0000 0.0000 0.0000  8 Sr 3.47
3 Pd 0.0000 0.0000 0.5000  8 Sr 3.47

=====

(10)
The following is a DFT calculation (PBE) of a relaxed Sr3LaPd crystal.

Total magnetic moment = 0.381 μB/atom
Calculated total energy = -9.82 eV/f.u.

a b c (Å): 6.0465 6.0465 6.0465
angles (deg): 90.00 90.00 90.00
Closest atoms and distances in Å follow each position.
Space group Pm-3m (No. 221)
One atom of each set of equivalent atoms:
1 Sr 0.0000 0.0000 0.5000  2 La 3.02
2 La 0.0000 0.0000 0.0000  6 Sr 3.02
3 Pd 0.5000 0.5000 0.5000  12 Sr 4.28

=====

(11)
The following is a DFT calculation (PBE) of a relaxed SrLaPd10 crystal.

Total magnetic moment = 0.000 μB/atom
Calculated total energy = -64.19 eV/f.u.

a b c (Å): 4.4834 5.4238 9.3917
angles (deg): 90.00 90.00 90.00
Closest atoms and distances in Å follow each position.
Space group Pmmm (No. 47)
One atom of each set of equivalent atoms:
1 Sr 0.0000 0.0000 0.0000  18 Pd 3.16-3.54
2 La 0.0000 0.5000 0.5000  6 Pd 3.07-3.11
3 Pd 0.0000 0.0000 0.3378  6 Pd 2.71-2.74
4 Pd 0.0000 0.5000 0.1727  6 Pd 2.72-2.77
5 Pd 0.5000 0.0000 0.5000  8 Pd 2.69-2.71
6 Pd 0.5000 0.2511 0.2525  8 Pd 2.69-2.74
7 Pd 0.5000 0.5000 0.0000  8 Pd 2.73-2.77

=====

(12)
The following is a DFT calculation (PBE) of a relaxed Sr2LaPd crystal.

Total magnetic moment = 0.000 μB/atom
Calculated total energy = -13.92 eV/f.u.

a b c (Å): 10.8832 10.8832 5.6803
angles (deg): 90.00 90.00 90.00
Closest atoms and distances in Å follow each position.
Space group I-42d (No. 122)
One atom of each set of equivalent atoms:
1 Sr 0.1230 0.7500 0.1250  2 Pd 3.11
2 La 0.0000 0.0000 0.5000  2 Pd 2.84
3 Pd 0.0000 0.0000 0.0000  2 La 2.84, 4 Sr 3.11